# 1
Material: VCuRhAu
Method: DFT, PBE
State: optimized geometry

Summary:
ΔE_f in kJ per mole of atoms: -0.87
Symmetry: No. 216
Total energy in eV/atom: -5.97

Cell: 4.354 4.354 4.354 Å, 60.00 60.00 60.00°
Site moments in Bohr magnetons follow the coordinates.
Atoms (fractional coordinates):
V1 0.750 0.750 0.750  1.26
Rh1 0.000 0.000 0.000  0.08
Au1 0.500 0.500 0.500  0.11
Cu1 0.250 0.250 0.250  -0.01

***

# 2
Material: SrTaP4
Method: DFT, PBE
State: optimized geometry

Summary:
ΔE_f in kJ per mole of atoms: 43.69
Symmetry: No. 216
Total energy in eV/atom: -5.41

Cell: 5.321 5.321 5.321 Å, 60.00 60.00 60.00°
Site moments in Bohr magnetons follow the coordinates.
Atoms (fractional coordinates):
Ta1 0.000 0.000 0.000  0.41
P1 0.894 0.369 0.369  0.00
P2 0.369 0.369 0.894  0.00
P3 0.369 0.369 0.369  0.00
Sr1 0.750 0.750 0.750  0.05
P4 0.369 0.894 0.369  0.00

***

# 3
Material: K2TmCu2O4
Method: DFT, PBE
State: optimized geometry

Summary:
Formation energy without anion corrections in eV per atom: -1.559
Symmetry: No. 12
Total energy in eV/atom: -5.41

Cell: 3.367 6.480 6.810 Å, 107.25 104.31 90.00°
Atoms (fractional coordinates):
Cu1 0.687 0.034 0.374
K1 0.125 0.551 0.251
O1 0.468 0.202 0.935
O2 0.184 0.180 0.368
K2 0.875 0.449 0.749
O3 0.532 0.798 0.065
O4 0.816 0.820 0.632
Cu2 0.313 0.966 0.626
Tm1 0.000 0.000 0.000